Entry 1:
First-principles (PBE) data for a relaxed Rb2TaTeBr crystal, as listed in Alexandria.

Properties
- Crystal system: tetragonal

abc: 6.3479 6.3479 5.1655
angles: 90.00 90.00 90.00
Space group P4/mmm (No. 123)
One atom of each set of equivalent atoms:
Rb  0.0000  0.5000  0.0000
Ta  0.0000  0.0000  0.5000
Te  0.5000  0.5000  0.5000
Br  0.0000  0.0000  0.0000



Entry 2:
First-principles (PBE) data for a relaxed RbTa2TiBr crystal, as listed in Alexandria.

Properties
- Crystal system: tetragonal

abc: 5.0108 5.0108 4.6741
angles: 90.00 90.00 90.00
Space group P4/mmm (No. 123)
One atom of each set of equivalent atoms:
Rb  0.0000  0.0000  0.0000
Ta  0.0000  0.5000  0.0000
Ti  0.0000  0.0000  0.5000
Br  0.5000  0.5000  0.5000



Entry 3:
First-principles (PBE) data for a relaxed Rb2TaTiBr6 crystal, as listed in Alexandria.

Properties
- Crystal system: tetragonal

abc: 7.6419 7.6419 10.5789
angles: 90.00 90.00 90.00
Space group I4/mmm (No. 139)
One atom of each set of equivalent atoms:
Rb  0.0000  0.5000  0.2500
Ta  0.0000  0.0000  0.0000
Ti  0.0000  0.0000  0.5000
Br  0.0000  0.0000  0.2516
Br  0.2493  0.2493  0.0000



Entry 4:
First-principles (PBE) data for a relaxed Rb2TaTlBr6 crystal, as listed in Alexandria.

Properties
- Crystal system: cubic

abc: 11.5970 11.5970 11.5970
angles: 90.00 90.00 90.00
Space group Fm-3m (No. 225)
One atom of each set of equivalent atoms:
Rb  0.2500  0.2500  0.2500
Ta  0.0000  0.0000  0.0000
Tl  0.0000  0.0000  0.5000
Br  0.0000  0.0000  0.2268



Entry 5:
First-principles (PBE) data for a relaxed Rb2ZrTaBr6 crystal, as listed in Alexandria.

Properties
- Crystal system: tetragonal

abc: 7.5803 7.5803 10.7615
angles: 90.00 90.00 90.00
Space group I4/mmm (No. 139)
One atom of each set of equivalent atoms:
Rb  0.0000  0.5000  0.2500
Zr  0.0000  0.0000  0.0000
Ta  0.0000  0.0000  0.5000
Br  0.0000  0.0000  0.2543
Br  0.2457  0.2457  0.5000



Entry 6:
First-principles (PBE) data for a relaxed Rb2TbBr4 crystal, as listed in Alexandria.

Properties
- Crystal system: tetragonal

abc: 5.6518 5.6518 17.5629
angles: 90.00 90.00 90.00
Space group I4/mmm (No. 139)
One atom of each set of equivalent atoms:
Rb  0.0000  0.0000  0.1401
Tb  0.0000  0.0000  0.5000
Br  0.0000  0.0000  0.3360
Br  0.0000  0.5000  0.0000



Entry 7:
First-principles (PBE) data for a relaxed Rb3TbBr8 crystal, as listed in Alexandria.

Properties
- Crystal system: tetragonal

abc: 7.7771 7.7771 15.9900
angles: 90.00 90.00 90.00
Space group I4/mmm (No. 139)
One atom of each set of equivalent atoms:
Rb  0.0000  0.0000  0.0000
Rb  0.0000  0.5000  0.2500
Tb  0.0000  0.0000  0.5000
Br  0.2195  0.2195  0.3905



Entry 8:
First-principles (PBE) data for a relaxed Rb6Tb3Br14 crystal, as listed in Alexandria.

Properties
- Crystal system: trigonal

abc: 12.3043 12.3043 7.5466
angles: 90.00 90.00 120.00
Space group P3 (No. 143)
One atom of each set of equivalent atoms:
Rb  0.0411  0.5755  0.0000
Rb  0.3094  0.1092  0.4707
Tb  0.0000  0.0000  0.9076
Tb  0.3333  0.6667  0.4378
Tb  0.6667  0.3333  0.8094
Br  0.0000  0.0000  0.2695
Br  0.0865  0.8580  0.7572
Br  0.1821  0.4399  0.2807
Br  0.3333  0.6667  0.7999
Br  0.4480  0.1943  0.0191
Br  0.5315  0.4152  0.5946



Number 1: raw total energy -3.40 eV/atom. Number 2: raw total energy -3.85 eV/atom. Number 3: raw total energy -4.08 eV/atom. Number 4: raw total energy -3.70 eV/atom. Number 5: raw total energy -4.12 eV/atom. Number 6: raw total energy -3.50 eV/atom. Number 7: raw total energy -3.10 eV/atom. Number 8: raw total energy -3.60 eV/atom.